The following is a PBE-GGA calculation of a geometry-optimized LaSi2As2 structure, from the Alexandria database.

a b c (Å): 6.001 6.001 6.001
angles (deg): 135.80 135.80 64.29
Sites, in units of the cell vectors:
La1 0.000 0.000 0.000
Si1 0.385 0.385 0.000
Si2 0.615 0.615 0.000
As1 0.250 0.750 0.500
As2 0.750 0.250 0.500

- E_form (uncorrected): -0.159 eV/atom
- Magnetic moment: 0.0 Bohr magnetons per cell
- Space group: I4/mmm
- VASP energy: -5.17 eV/atom